BaSr2Se: relaxed, PBE.

```
4
Lattice="5.0297 0.0000 0.0000 0.0000 5.0297 0.0000 0.0000 0.0000 6.7039" Properties=species:S:1:pos:R:3 pbc="T T T"
Ba 0.0000 0.0000 0.0000
Sr 0.0000 2.5149 3.3520
Sr 2.5149 0.0000 3.3520
Se 2.5149 2.5149 0.0000
```

Calculated values
raw total energy	-2.67	eV/atom
mass density	3.83	g/cm³
excess energy over the best structure of this formula in the dataset	468.8	meV per atom
E_form (uncorrected)	-0.473	eV/atom

=====

BaSr2Se: relaxed, PBE.

```
4
Lattice="2.8241 -2.8619 0.0000 2.8241 2.8619 0.0000 0.0000 0.0000 10.7618" Properties=species:S:1:pos:R:3 pbc="T T T"
Ba 0.0000 0.0000 0.0000
Sr 0.0000 0.0000 3.7334
Sr 2.8241 0.0000 7.1147
Se 2.8241 0.0000 1.9671
```

Calculated values
raw total energy	-3.04	eV/atom
mass density	3.74	g/cm³
excess energy over the best structure of this formula in the dataset	99.9	meV per atom
E_form (uncorrected)	-0.842	eV/atom

=====

Ba2SrTbSe4: relaxed, PBE.

```
8
Lattice="7.7119 0.0000 0.0000 0.0000 4.4323 0.0000 -2.5436 0.0000 7.4065" Properties=species:S:1:pos:R:3 pbc="T T T"
Ba 0.0000 0.0000 0.0000
Ba 3.8560 2.2162 0.0000
Sr -1.2718 2.2162 3.7033
Tb 2.5841 0.0000 3.7033
Se 0.1261 0.0000 5.3613
Se 1.3814 2.2162 2.0897
Se 3.7869 2.2162 5.3168
Se 5.0422 0.0000 2.0452
```

Calculated values
raw total energy	-4.96	eV/atom
mass density	5.49	g/cm³
E_form (uncorrected)	-1.953	eV/atom